The following is a DFT calculation (PBE) of an optimized crystal structure of TiV2Si4.

Output
- calculated density (kg/m3) = 3372
- energy relative to the elements, uncorrected (eV per atom) = 0.47
- E_tot (eV/atom) = -6.36

Cell lengths 4.6007, 4.6007, 6.9116 Å; angles 70.56, 70.56, 90.00 degrees
Each line ends with the local moment (μB).
Element x y z (fractional)
Si: 0.1995 0.1995 0.6010  -0.01
Si: 0.8005 0.8005 0.3990  -0.01
Si: 0.0000 0.5000 0.0000  -0.03
Si: 0.5000 0.0000 0.0000  -0.03
Ti: 0.0000 0.0000 0.0000  0.11
V: 0.4053 0.4053 0.1894  0.83
V: 0.5947 0.5947 0.8106  0.83